(1)
DFT (GGA-PBE) results for a relaxed LuThSb2 crystal.

a = 5.3536 Å, b = 5.3536 Å, c = 3.8582 Å
α = 90.00°, β = 90.00°, γ = 90.00°
Fractional positions:
Lu 0.0000 0.0000 0.0000
Th 0.5000 0.5000 0.0000
Sb 0.0000 0.5000 0.5000
Sb 0.5000 0.0000 0.5000

- Energy: -23.197 eV for the cell shown
- Fermi-level density of states: 3.8 states/eV/f.u.
- Raw formation energy: -753 meV per atom

(2)
DFT (GGA-PBE) results for a relaxed MnVTe2I crystal.

a = 5.2505 Å, b = 5.2505 Å, c = 5.6368 Å
α = 90.00°, β = 90.00°, γ = 90.00°
Fractional positions:
Mn 0.0000 0.0000 0.0000
V 0.5000 0.5000 0.5000
Te 0.0000 0.5000 0.5000
Te 0.5000 0.0000 0.5000
I 0.5000 0.5000 0.0000

- Energy: -23.894 eV for the cell shown
- Fermi-level density of states: 3.6 states/eV/f.u.
- Energy above the lowest structure with this stoichiometry: 0 meV per atom
- Raw formation energy: 446 meV per atom

- Among the records above, which one has the highest Fermi-level density of states?
  LuThSb2